CdCuGe2Se6 after structural relaxation. Source: Alexandria via LeMat-Bulk, functional PBE.

- E_tot: -74.42 eV per cell
- Formation energy from raw total energies: -0.2058 eV per atom
- Magnetization: 0.000 Bohr magnetons per cell
- Crystal system: monoclinic

Cell lengths 9.399, 9.399, 6.776 Å; angles 107.52, 107.52, 88.68 degrees
Atoms (fractional coordinates):
Cd 0.194 0.806 0.750
Cd 0.806 0.194 0.250
Cu 0.216 0.784 0.250
Cu 0.784 0.216 0.750
Ge 0.212 0.373 0.759
Ge 0.373 0.212 0.259
Ge 0.627 0.788 0.741
Ge 0.788 0.627 0.241
Se 0.015 0.176 0.626
Se 0.105 0.604 0.901
Se 0.176 0.015 0.126
Se 0.307 0.433 0.498
Se 0.396 0.895 0.599
Se 0.433 0.307 0.998
Se 0.567 0.693 0.002
Se 0.604 0.105 0.401
Se 0.693 0.567 0.502
Se 0.824 0.985 0.874
Se 0.895 0.396 0.099
Se 0.985 0.824 0.374


FeCoIr2 after structural relaxation. Source: Alexandria via LeMat-Bulk, functional PBE.

- E_tot: -33.30 eV per cell
- ΔH_f (0 K): 0.0 eV/f.u.
- Magnetization: 3.333 Bohr magnetons per cell
- Crystal system: orthorhombic

Cell lengths 4.488, 4.488, 2.675 Å; angles 90.00, 90.00, 107.15 degrees
Atoms (fractional coordinates):
Fe 0.000 0.000 0.000
Co 0.500 0.500 0.000
Ir 0.000 0.500 0.500
Ir 0.500 0.000 0.500


GaNiPb2 after structural relaxation. Source: Alexandria via LeMat-Bulk, functional PBE.

- E_tot: -29.40 eV per cell
- ΔH_f (0 K): 1.5 eV/f.u.
- Magnetization: 0.000 Bohr magnetons per cell
- Crystal system: tetragonal

Cell lengths 9.119, 9.119, 9.119 Å; angles 148.57, 148.57, 45.05 degrees
Atoms (fractional coordinates):
Ga 0.000 0.000 0.000
Ga 0.750 0.250 0.500
Ni 0.250 0.750 0.500
Ni 0.500 0.500 0.000
Pb 0.168 0.625 0.043
Pb 0.375 0.418 0.543
Pb 0.582 0.125 0.957
Pb 0.875 0.832 0.457


Sc2AlFe2Ni5 after structural relaxation. Source: Alexandria via LeMat-Bulk, functional PBE.

- E_tot: -129.75 eV per cell
- ΔH_f (0 K): -2.6 eV/f.u.
- Magnetization: 11.149 Bohr magnetons per cell
- Crystal system: tetragonal

Cell lengths 8.566, 8.566, 3.681 Å; angles 90.00, 90.00, 90.00 degrees
Atoms (fractional coordinates):
Sc 0.176 0.324 0.000
Sc 0.324 0.824 0.000
Sc 0.676 0.176 0.000
Sc 0.824 0.676 0.000
Al 0.000 0.000 0.000
Al 0.500 0.500 0.000
Fe 0.124 0.624 0.000
Fe 0.376 0.124 0.000
Fe 0.624 0.876 0.000
Fe 0.876 0.376 0.000
Ni 0.000 0.500 0.500
Ni 0.065 0.794 0.500
Ni 0.206 0.065 0.500
Ni 0.294 0.565 0.500
Ni 0.435 0.294 0.500
Ni 0.500 0.000 0.500
Ni 0.565 0.706 0.500
Ni 0.706 0.435 0.500
Ni 0.794 0.935 0.500
Ni 0.935 0.206 0.500


SrSi2Os after structural relaxation. Source: Alexandria via LeMat-Bulk, functional PBE.

- E_tot: -25.36 eV per cell
- Formation energy from raw total energies: -0.3998 eV per atom
- Magnetization: 0.000 Bohr magnetons per cell
- Crystal system: monoclinic

Cell lengths 4.133, 4.133, 5.989 Å; angles 110.09, 110.09, 59.66 degrees
Atoms (fractional coordinates):
Sr 0.000 0.000 0.000
Si 0.204 0.204 0.610
Si 0.796 0.796 0.390
Os 0.500 0.500 0.500


La4Au2O9 after structural relaxation. Source: Alexandria via LeMat-Bulk, functional PBE.

- E_tot: -428.78 eV per cell
- Formation energy from raw total energies: -2.4204 eV per atom
- Magnetization: 0.000 Bohr magnetons per cell
- Crystal system: orthorhombic

Cell lengths 12.202, 6.379, 12.193 Å; angles 90.00, 90.00, 90.00 degrees
Atoms (fractional coordinates):
La 0.010 0.243 0.089
La 0.010 0.757 0.589
La 0.160 0.197 0.763
La 0.160 0.803 0.263
La 0.340 0.303 0.263
La 0.340 0.697 0.763
La 0.490 0.257 0.589
La 0.490 0.743 0.089
La 0.510 0.257 0.911
La 0.510 0.743 0.411
La 0.660 0.303 0.237
La 0.660 0.697 0.737
La 0.840 0.197 0.737
La 0.840 0.803 0.237
La 0.990 0.243 0.411
La 0.990 0.757 0.911
Au 0.230 0.422 0.511
Au 0.230 0.578 0.011
Au 0.270 0.078 0.011
Au 0.270 0.922 0.511
Au 0.730 0.078 0.489
Au 0.730 0.922 0.989
Au 0.770 0.422 0.989
Au 0.770 0.578 0.489
O 0.000 0.023 0.250
O 0.000 0.977 0.750
O 0.080 0.393 0.586
O 0.080 0.607 0.086
O 0.116 0.059 0.946
O 0.116 0.941 0.446
O 0.164 0.444 0.354
O 0.164 0.556 0.854
O 0.198 0.121 0.158
O 0.198 0.879 0.658
O 0.302 0.379 0.658
O 0.302 0.621 0.158
O 0.336 0.056 0.854
O 0.336 0.944 0.354
O 0.384 0.441 0.446
O 0.384 0.559 0.946
O 0.420 0.107 0.086
O 0.420 0.893 0.586
O 0.500 0.477 0.750
O 0.500 0.523 0.250
O 0.580 0.107 0.414
O 0.580 0.893 0.914
O 0.616 0.441 0.054
O 0.616 0.559 0.554
O 0.664 0.056 0.646
O 0.664 0.944 0.146
O 0.698 0.379 0.842
O 0.698 0.621 0.342
O 0.802 0.121 0.342
O 0.802 0.879 0.842
O 0.836 0.444 0.146
O 0.836 0.556 0.646
O 0.884 0.059 0.554
O 0.884 0.941 0.054
O 0.920 0.393 0.914
O 0.920 0.607 0.414


SrIrRh2 after structural relaxation. Source: Alexandria via LeMat-Bulk, functional PBE.

- E_tot: -24.56 eV per cell
- ΔH_f (0 K): 0.7 eV/f.u.
- Magnetization: 0.000 Bohr magnetons per cell
- Crystal system: monoclinic

Cell lengths 2.865, 4.459, 5.906 Å; angles 90.00, 103.94, 90.00 degrees
Atoms (fractional coordinates):
Sr 0.000 0.000 0.000
Ir 0.686 0.500 0.367
Rh 0.251 0.000 0.497
Rh 0.377 0.500 0.752


PmPrDy2Y5 after structural relaxation. Source: Alexandria via LeMat-Bulk, functional PBE.

- E_tot: -97.42 eV per cell
- ΔH_f (0 K): 2.3 eV/f.u.
- Magnetization: 0.000 Bohr magnetons per cell
- Crystal system: tetragonal

Cell lengths 9.902, 9.902, 9.902 Å; angles 127.41, 127.41, 77.58 degrees
Atoms (fractional coordinates):
Pm 0.250 0.250 0.000
Pm 0.750 0.750 0.000
Pr 0.250 0.750 0.500
Pr 0.750 0.250 0.500
Dy 0.117 0.617 0.734
Dy 0.383 0.117 0.500
Dy 0.617 0.883 0.500
Dy 0.883 0.383 0.266
Y 0.000 0.000 0.000
Y 0.069 0.164 0.500
Y 0.164 0.664 0.095
Y 0.336 0.431 0.500
Y 0.431 0.931 0.095
Y 0.500 0.500 0.000
Y 0.569 0.069 0.905
Y 0.664 0.569 0.500
Y 0.836 0.336 0.905
Y 0.931 0.836 0.500


CaNdEuAl after structural relaxation. Source: Alexandria via LeMat-Bulk, functional PBE.

- E_tot: -20.98 eV per cell
- ΔH_f (0 K): -0.2 eV/f.u.
- Magnetization: 7.369 Bohr magnetons per cell
- Crystal system: cubic

Cell lengths 5.583, 5.583, 5.583 Å; angles 60.00, 60.00, 60.00 degrees
Atoms (fractional coordinates):
Ca 0.000 0.000 0.000
Nd 0.750 0.750 0.750
Eu 0.250 0.250 0.250
Al 0.500 0.500 0.500


Ce2Ga3Ru after structural relaxation. Source: Alexandria via LeMat-Bulk, functional PBE.

- E_tot: -33.53 eV per cell
- ΔH_f (0 K): -3.3 eV/f.u.
- Magnetization: 0.647 Bohr magnetons per cell
- Crystal system: monoclinic

Cell lengths 5.458, 5.458, 6.984 Å; angles 124.91, 124.91, 49.81 degrees
Atoms (fractional coordinates):
Ce 0.000 0.000 0.000
Ce 0.117 0.117 0.618
Ga 0.396 0.396 0.213
Ga 0.419 0.419 0.623
Ga 0.735 0.735 0.392
Ru 0.754 0.754 0.010


KOs2Br after structural relaxation. Source: Alexandria via LeMat-Bulk, functional PBE.

- E_tot: -18.95 eV per cell
- Formation energy from raw total energies: 1.5710 eV per atom
- Magnetization: 0.000 Bohr magnetons per cell
- Crystal system: orthorhombic

Cell lengths 2.859, 2.859, 10.546 Å; angles 90.00, 90.00, 120.38 degrees
Atoms (fractional coordinates):
K 0.000 0.000 0.000
Os 0.500 0.500 0.275
Os 0.500 0.500 0.725
Br 0.000 0.000 0.500


RbTbCo2Cl8 after structural relaxation. Source: Alexandria via LeMat-Bulk, functional PBE.

- E_tot: -50.78 eV per cell
- Formation energy from raw total energies: -1.3500 eV per atom
- Magnetization: 6.000 Bohr magnetons per cell
- Crystal system: trigonal

Cell lengths 10.468, 10.468, 10.468 Å; angles 36.11, 36.11, 36.11 degrees
Atoms (fractional coordinates):
Rb 0.000 0.000 0.000
Tb 0.500 0.500 0.500
Co 0.246 0.246 0.246
Co 0.754 0.754 0.754
Cl 0.113 0.446 0.780
Cl 0.220 0.887 0.554
Cl 0.320 0.320 0.320
Cl 0.446 0.780 0.113
Cl 0.554 0.220 0.887
Cl 0.680 0.680 0.680
Cl 0.780 0.113 0.446
Cl 0.887 0.554 0.220


MgAsOs2 after structural relaxation. Source: Alexandria via LeMat-Bulk, functional PBE.

- E_tot: -28.17 eV per cell
- ΔH_f (0 K): 0.5 eV/f.u.
- Magnetization: 0.000 Bohr magnetons per cell
- Crystal system: tetragonal

Cell lengths 2.899, 2.899, 7.859 Å; angles 90.00, 90.00, 90.00 degrees
Atoms (fractional coordinates):
Mg 0.000 0.000 0.000
As 0.500 0.500 0.672
Os 0.000 0.000 0.458
Os 0.500 0.500 0.240


Ho4ZnBi after structural relaxation. Source: Alexandria via LeMat-Bulk, functional PBE.

- E_tot: -49.21 eV per cell
- ΔH_f (0 K): -1.1 eV/f.u.
- Magnetization: 0.011 Bohr magnetons per cell
- Crystal system: orthorhombic

Cell lengths 10.463, 10.463, 6.371 Å; angles 90.00, 90.00, 149.18 degrees
Atoms (fractional coordinates):
Ho 0.054 0.946 0.750
Ho 0.203 0.797 0.501
Ho 0.203 0.797 0.999
Ho 0.386 0.614 0.750
Ho 0.614 0.386 0.250
Ho 0.797 0.203 0.001
Ho 0.797 0.203 0.499
Ho 0.946 0.054 0.250
Zn 0.083 0.917 0.250
Zn 0.917 0.083 0.750
Bi 0.352 0.648 0.250
Bi 0.648 0.352 0.750


KLiSnO2 after structural relaxation. Source: Alexandria via LeMat-Bulk, functional PBE.

- E_tot: -49.30 eV per cell
- Formation energy from raw total energies: -1.5443 eV per atom
- Magnetization: 0.000 Bohr magnetons per cell
- Crystal system: monoclinic

Cell lengths 6.912, 6.912, 9.973 Å; angles 121.56, 121.56, 28.29 degrees
Atoms (fractional coordinates):
K 0.017 0.017 0.233
K 0.983 0.983 0.767
Li 0.263 0.263 0.925
Li 0.737 0.737 0.075
Sn 0.309 0.309 0.342
Sn 0.691 0.691 0.658
O 0.312 0.312 0.765
O 0.332 0.332 0.154
O 0.668 0.668 0.846
O 0.688 0.688 0.235


ReOs4Br after structural relaxation. Source: Alexandria via LeMat-Bulk, functional PBE.

- E_tot: -50.22 eV per cell
- Formation energy from raw total energies: 1.4692 eV per atom
- Magnetization: 0.000 Bohr magnetons per cell
- Crystal system: cubic

Cell lengths 5.185, 5.185, 5.185 Å; angles 60.00, 60.00, 60.00 degrees
Atoms (fractional coordinates):
Re 0.000 0.000 0.000
Os 0.375 0.375 0.375
Os 0.375 0.375 0.876
Os 0.375 0.876 0.375
Os 0.876 0.375 0.375
Br 0.750 0.750 0.750


SiAs2WS after structural relaxation. Source: Alexandria via LeMat-Bulk, functional PBE.

- E_tot: -28.60 eV per cell
- Formation energy from raw total energies: 0.6400 eV per atom
- Magnetization: 0.000 Bohr magnetons per cell
- Crystal system: tetragonal

Cell lengths 4.830, 4.830, 4.826 Å; angles 90.00, 90.00, 90.00 degrees
Atoms (fractional coordinates):
Si 0.000 0.000 0.000
As 0.000 0.500 0.500
As 0.500 0.000 0.500
W 0.000 0.000 0.500
S 0.500 0.500 0.000


CdAsRuPb2 after structural relaxation. Source: Alexandria via LeMat-Bulk, functional PBE.

- E_tot: -15.64 eV per cell
- ΔH_f (0 K): 6.6 eV/f.u.
- Magnetization: 2.359 Bohr magnetons per cell
- Crystal system: tetragonal

Cell lengths 5.608, 5.608, 5.000 Å; angles 90.00, 90.00, 90.00 degrees
Atoms (fractional coordinates):
Cd 0.000 0.000 0.000
As 0.000 0.000 0.500
Ru 0.500 0.500 0.500
Pb 0.000 0.500 0.000
Pb 0.500 0.000 0.000


Al3CoNi12 after structural relaxation. Source: Alexandria via LeMat-Bulk, functional PBE.

- E_tot: -92.81 eV per cell
- ΔH_f (0 K): -5.1 eV/f.u.
- Magnetization: 5.787 Bohr magnetons per cell
- Crystal system: tetragonal

Cell lengths 3.556, 3.556, 14.205 Å; angles 90.00, 90.00, 90.00 degrees
Atoms (fractional coordinates):
Al 0.000 0.000 0.000
Al 0.000 0.000 0.250
Al 0.000 0.000 0.750
Co 0.000 0.000 0.500
Ni 0.000 0.500 0.126
Ni 0.000 0.500 0.379
Ni 0.000 0.500 0.621
Ni 0.000 0.500 0.874
Ni 0.500 0.000 0.126
Ni 0.500 0.000 0.379
Ni 0.500 0.000 0.621
Ni 0.500 0.000 0.874
Ni 0.500 0.500 0.000
Ni 0.500 0.500 0.252
Ni 0.500 0.500 0.500
Ni 0.500 0.500 0.748


SmMg2AgAu4 after structural relaxation. Source: Alexandria via LeMat-Bulk, functional PBE.

- E_tot: -28.12 eV per cell
- ΔH_f (0 K): -4.2 eV/f.u.
- Magnetization: 0.000 Bohr magnetons per cell
- Crystal system: trigonal

Cell lengths 9.082, 9.082, 9.082 Å; angles 29.78, 29.78, 29.78 degrees
Atoms (fractional coordinates):
Sm 0.000 0.000 0.000
Mg 0.237 0.237 0.237
Mg 0.763 0.763 0.763
Ag 0.500 0.500 0.500
Au 0.121 0.121 0.121
Au 0.391 0.391 0.391
Au 0.609 0.609 0.609
Au 0.879 0.879 0.879


Sr8Bi3PI4 after structural relaxation. Source: Alexandria via LeMat-Bulk, functional PBE.

- E_tot: -56.88 eV per cell
- Formation energy from raw total energies: -1.2610 eV per atom
- Magnetization: 0.000 Bohr magnetons per cell
- Crystal system: monoclinic

Cell lengths 9.682, 9.682, 9.730 Å; angles 119.86, 119.86, 60.02 degrees
Atoms (fractional coordinates):
Sr 0.226 0.752 0.705
Sr 0.227 0.227 0.705
Sr 0.248 0.774 0.295
Sr 0.262 0.262 0.285
Sr 0.738 0.738 0.715
Sr 0.752 0.226 0.705
Sr 0.773 0.773 0.295
Sr 0.774 0.248 0.295
Bi 0.000 0.500 0.500
Bi 0.500 0.000 0.500
Bi 0.500 0.500 0.500
P 0.000 0.000 0.500
I 0.000 0.000 0.000
I 0.000 0.500 0.000
I 0.500 0.000 0.000
I 0.500 0.500 0.000